[1]
Rb2CdSnI6: relaxed, PBE.

Calculated values
The total energy comes out at -25.15 eV for the cell shown. Its uncorrected formation energy is -9.0 eV/f.u. The symmetry is P1.

Cell and atoms, written as POSCAR:
```
Rb2CdSnI6
1.0
8.6390 0.0020 -0.0014
4.3212 7.4805 -0.0051
4.3188 2.4895 6.9622
I Rb Cd Sn
6 2 1 1
Cartesian
6.7612 1.8286 1.9662
6.2440 5.6299 5.4905
9.2825 2.5881 5.4946
10.4044 6.7362 5.4990
2.5141 0.7090 1.9570
3.6719 4.9489 1.9482
4.3224 2.4913 5.9278
8.6392 4.9877 2.4473
4.3191 2.4875 0.3470
12.9557 7.4761 3.8156
```

=====

[2]
CaPm2Si6: relaxed, PBE.

Calculated values
The total energy comes out at -46.47 eV for the cell shown. Its uncorrected formation energy is -2.4 eV/f.u. The symmetry is Immm. The distance to the lowest polymorph of the same formula is 0.210 eV/atom.

Cell and atoms, written as POSCAR:
```
CaPm2Si6
1.0
-0.3658 -2.2012 -3.2399
-0.9850 -7.0833 2.5353
-7.4674 -1.0642 -0.8222
Si Ca Pm
6 1 2
Cartesian
-5.2859 -4.3603 -1.2175
-3.5324 -5.9885 -0.3094
-7.5602 -4.6910 -0.7361
-4.1939 -7.8166 1.0074
-1.2581 -5.6578 -0.7908
-4.6243 -2.5322 -2.5343
0.0000 0.0000 0.0000
-5.9275 -7.2570 -1.5654
-2.8907 -3.0918 0.0386
```

=====

[3]
LiTi2Pt2: relaxed, PBE.

Calculated values
The calculation puts the formation energy from the elements at -51.44 kJ/mol of atoms. The total energy comes out at -32.45 eV for the cell shown. The symmetry is Cmmm. The distance to the lowest polymorph of the same formula is 0.200 eV/atom.

Cell and atoms, written as POSCAR:
```
LiTi2Pt2
1.0
3.2008 0.0000 0.0000
0.0000 2.8815 0.5460
0.0000 -0.1589 8.7156
Pt Li Ti
2 1 2
Cartesian
1.6004 1.5678 7.4793
1.6004 1.1548 1.7823
0.0000 0.0000 0.0000
0.0000 2.3152 3.5345
0.0000 0.4073 5.7270
```